# RbV2NiO6 | Alexandria via LeMat-Bulk | PBE+U | relaxed
data_RbV2NiO6
_symmetry_space_group_name_H-M 'P 1'
_symmetry_Int_Tables_number 1
_symmetry_space_group_name_Hall 'P 1'
_cell_length_a 6.0982
_cell_length_b 7.9117
_cell_length_c 7.9117
_cell_angle_alpha 91.87
_cell_angle_beta 74.82
_cell_angle_gamma 74.82
loop_
_atom_site_label
_atom_site_type_symbol
_atom_site_fract_x
_atom_site_fract_y
_atom_site_fract_z
V1 V 0.1599 0.3893 0.2258
V2 V 0.8401 0.6106 0.7742
V3 V 0.6599 0.2258 0.3893
V4 V 0.3401 0.7742 0.6106
O1 O 0.9395 0.3948 0.7987
O2 O 0.4123 0.3531 0.3180
O3 O 0.4395 0.7987 0.3948
O4 O 0.9123 0.3180 0.3531
O5 O 0.5605 0.2013 0.6052
O6 O 0.0877 0.6820 0.6469
O7 O 0.7627 0.0253 0.2675
O8 O 0.2627 0.2675 0.0253
O9 O 0.7373 0.7325 0.9747
O10 O 0.0605 0.6052 0.2013
O11 O 0.5877 0.6469 0.6820
O12 O 0.2373 0.9747 0.7325
Rb1 Rb 0.7500 0.1091 0.8909
Rb2 Rb 0.2500 0.8909 0.1091
Ni1 Ni 0.2500 0.2257 0.7743
Ni2 Ni 0.7500 0.7743 0.2257
# Final energy in eV/atom: -6.48
# ρ in Mg/m³: 3.21